Entry 1:
A relaxed YErSnC crystal, computed with PBE.

Properties
E (eV per atom): -6.63
Total moment (Bohr magnetons per cell): 0.06

Cell: 3.609 3.609 15.783 Å, 90.00 90.00 120.00°
Fractional positions:
C  0.000  0.000  0.000
C  0.000  0.000  0.500
Er  0.333  0.667  0.083
Er  0.667  0.333  0.917
Sn  0.667  0.333  0.248
Sn  0.333  0.667  0.752
Y  0.333  0.667  0.415
Y  0.667  0.333  0.585


Entry 2:
A relaxed Ta4NiPbN2 crystal, computed with PBE.

Properties
E (eV per atom): -9.50
Total moment (Bohr magnetons per cell): 0.01

Cell: 3.188 3.188 13.352 Å, 90.00 90.00 120.00°
Fractional positions:
N  0.333  0.667  0.229
N  0.333  0.667  0.771
Ni  0.000  0.000  0.000
Pb  0.667  0.333  0.500
Ta  0.667  0.333  0.142
Ta  0.000  0.000  0.316
Ta  0.000  0.000  0.684
Ta  0.667  0.333  0.858


Entry 3:
A relaxed Li2In4PtAu crystal, computed with PBE.

Properties
E (eV per atom): -3.40
Total moment (Bohr magnetons per cell): 0.01

Cell: 8.289 5.352 5.352 Å, 46.33 90.00 90.00°
Fractional positions:
Au  0.000  0.277  0.277
In  0.309  0.139  0.139
In  0.691  0.139  0.139
In  0.205  0.860  0.860
In  0.795  0.860  0.860
Li  0.500  0.432  0.432
Li  0.000  0.571  0.571
Pt  0.500  0.723  0.723


Entry 4:
A relaxed LuMgScNi crystal, computed with PBE.

Properties
E (eV per atom): -4.51
Total moment (Bohr magnetons per cell): 0.00

Cell: 4.791 4.791 4.791 Å, 60.00 60.00 60.00°
Fractional positions:
Lu  0.250  0.250  0.250
Mg  0.750  0.750  0.750
Ni  0.500  0.500  0.500
Sc  0.000  0.000  0.000


Entry 5:
A relaxed YSi2Ir2 crystal, computed with PBE.

Properties
E (eV per atom): -7.90
Total moment (Bohr magnetons per cell): 0.01

Cell: 5.822 5.822 5.822 Å, 138.14 138.14 60.70°
Fractional positions:
Ir  0.370  0.370  0.000
Ir  0.630  0.630  0.000
Si  0.750  0.250  0.500
Si  0.250  0.750  0.500
Y  0.000  0.000  0.000


Entry 6:
A relaxed YFeBiAu crystal, computed with PBE.

Properties
E (eV per atom): -5.59
Total moment (Bohr magnetons per cell): 2.20

Cell: 4.971 4.971 4.971 Å, 60.00 60.00 60.00°
Fractional positions:
Au  0.250  0.250  0.250
Bi  0.000  0.000  0.000
Fe  0.750  0.750  0.750
Y  0.500  0.500  0.500


Entry 7:
A relaxed Cu11PdN4 crystal, computed with PBE.

Properties
E (eV per atom): -4.42

Cell: 3.749 7.450 7.450 Å, 90.00 90.00 90.00°
Fractional positions:
Cu  0.500  0.500  0.000
Cu  0.000  0.500  0.244
Cu  0.500  0.245  0.245
Cu  0.500  0.755  0.245
Cu  0.500  0.000  0.500
Cu  0.000  0.244  0.500
Cu  0.500  0.500  0.500
Cu  0.000  0.756  0.500
Cu  0.500  0.245  0.755
Cu  0.500  0.755  0.755
Cu  0.000  0.500  0.756
N  0.000  0.000  0.000
N  0.000  0.500  0.000
N  0.000  0.000  0.500
N  0.000  0.500  0.500
Pd  0.500  0.000  0.000


Entry 8:
A relaxed Pr5Ge2Bi2 crystal, computed with PBE.

Properties
E (eV per atom): -5.44
Total moment (Bohr magnetons per cell): 0.06

Cell: 9.029 9.029 8.346 Å, 90.00 90.00 54.89°
Fractional positions:
Bi  0.293  0.293  0.000
Bi  0.707  0.707  0.000
Bi  0.207  0.207  0.500
Bi  0.793  0.793  0.500
Ge  0.866  0.134  0.134
Ge  0.366  0.634  0.366
Ge  0.634  0.366  0.634
Ge  0.134  0.866  0.866
Pr  0.500  0.500  0.000
Pr  0.041  0.706  0.166
Pr  0.294  0.959  0.166
Pr  0.541  0.206  0.334
Pr  0.794  0.459  0.334
Pr  0.000  0.000  0.500
Pr  0.206  0.541  0.666
Pr  0.459  0.794  0.666
Pr  0.706  0.041  0.834
Pr  0.959  0.294  0.834


Copy entry 6 word for word.
A relaxed YFeBiAu crystal, computed with PBE.

Properties
E (eV per atom): -5.59
Total moment (Bohr magnetons per cell): 2.20

Cell: 4.971 4.971 4.971 Å, 60.00 60.00 60.00°
Fractional positions:
Au  0.250  0.250  0.250
Bi  0.000  0.000  0.000
Fe  0.750  0.750  0.750
Y  0.500  0.500  0.500


> Which of these has the highest E?

Li2In4PtAu